(1)
The following is a PBE-GGA calculation of crystalline LiAuSe at its relaxed geometry, from the Alexandria database.

V	54.8	Å³ per cell
total moment	0.00	μB/atom
raw total energy	-9.78	eV per cell
ΔE_f (raw)	-0.37	eV per atom
space-group type	F-43m, No. 216
density of states at the Fermi level	1.30	states/eV/f.u.

Cell: 4.2629 4.2629 4.2629 Å, 60.00 60.00 60.00°
Last column: nearest neighbours and their distance in Å.
Fractional coordinates of all 3 atoms:
Au 0.5000 0.5000 0.5000  4 Li 2.61
Li 0.7500 0.7500 0.7500  4 Au 2.61, 4 Se 2.61
Se 0.0000 0.0000 0.0000  4 Li 2.61

---

(2)
The following is a PBE-GGA calculation of crystalline LiAu2Se2 at its relaxed geometry, from the Alexandria database.

V	108.2	Å³ per cell
distance to the lowest polymorph of the same formula	0.181	eV per atom
total moment	0.00	μB/atom
raw total energy	-16.01	eV per cell
ΔE_f (raw)	-0.11	eV per atom
space-group type	I4/mmm, No. 139
density of states at the Fermi level	4.97	states/eV/f.u.

Cell: 4.0177 4.0177 7.2783 Å, 73.98 73.98 90.00°
Last column: nearest neighbours and their distance in Å.
Fractional coordinates of all 5 atoms:
Au 0.7500 0.2500 0.5000  4 Se 2.82, 4 Au 2.84
Au 0.2500 0.7500 0.5000  4 Se 2.82, 4 Au 2.84
Se 0.3972 0.3972 0.2056  1 Se 2.76, 4 Au 2.82
Se 0.6028 0.6028 0.7944  1 Se 2.76, 4 Au 2.82
Li 0.0000 0.0000 0.0000  8 Se 3.16

---

(3)
The following is a PBE-GGA calculation of crystalline LiAu2Se2 at its relaxed geometry, from the Alexandria database.

V	108.9	Å³ per cell
distance to the lowest polymorph of the same formula	0.295	eV per atom
total moment	0.00	μB/atom
raw total energy	-15.44	eV per cell
ΔE_f (raw)	0.00	eV per atom
space-group type	I4/mmm, No. 139
density of states at the Fermi level	1.71	states/eV/f.u.

Cell: 3.9992 3.9992 7.3733 Å, 74.26 74.26 90.00°
Last column: nearest neighbours and their distance in Å.
Fractional coordinates of all 5 atoms:
Au 0.4047 0.4047 0.1906  1 Au 2.60, 4 Se 2.90
Au 0.5953 0.5953 0.8094  1 Au 2.60, 4 Se 2.90
Se 0.7500 0.2500 0.5000  4 Se 2.83, 4 Au 2.90
Se 0.2500 0.7500 0.5000  4 Se 2.83, 4 Au 2.90
Li 0.0000 0.0000 0.0000  8 Au 3.11

---

(4)
The following is a PBE-GGA calculation of crystalline LiAuSe3 at its relaxed geometry, from the Alexandria database.

V	137.1	Å³ per cell
distance to the lowest polymorph of the same formula	0.000	eV per atom
total moment	0.00	μB/atom
raw total energy	-14.63	eV per cell
ΔE_f (raw)	0.20	eV per atom
space-group type	Pm-3m, No. 221
density of states at the Fermi level	4.86	states/eV/f.u.

Cell: 5.1568 5.1568 5.1568 Å, 90.00 90.00 90.00°
Last column: nearest neighbours and their distance in Å.
Fractional coordinates of all 5 atoms:
Au 0.0000 0.0000 0.0000  6 Se 2.58
Se 0.0000 0.5000 0.0000  2 Au 2.58
Se 0.0000 0.0000 0.5000  2 Au 2.58
Se 0.5000 0.0000 0.0000  2 Au 2.58
Li 0.5000 0.5000 0.5000  12 Se 3.65

---

(5)
The following is a PBE-GGA calculation of crystalline Li2Au2Se at its relaxed geometry, from the Alexandria database.

V	99.3	Å³ per cell
distance to the lowest polymorph of the same formula	0.000	eV per atom
total moment	0.00	μB/atom
raw total energy	-15.99	eV per cell
ΔE_f (raw)	-0.43	eV per atom
space-group type	I4/mmm, No. 139
density of states at the Fermi level	1.85	states/eV/f.u.

Cell: 3.7503 3.7503 7.5405 Å, 75.60 75.60 90.00°
Last column: nearest neighbours and their distance in Å.
Fractional coordinates of all 5 atoms:
Au 0.7500 0.2500 0.5000  4 Au 2.65, 4 Li 2.90
Au 0.2500 0.7500 0.5000  4 Au 2.65, 4 Li 2.90
Se 0.0000 0.0000 0.0000  8 Li 2.96
Li 0.4064 0.4064 0.1873  1 Li 2.64, 4 Au 2.90
Li 0.5936 0.5936 0.8127  1 Li 2.64, 4 Au 2.90

---

(6)
The following is a PBE-GGA calculation of crystalline LiAuSe at its relaxed geometry, from the Alexandria database.

V	55.7	Å³ per cell
total moment	0.00	μB/atom
raw total energy	-9.65	eV per cell
ΔE_f (raw)	-0.33	eV per atom
space-group type	Fmm2, No. 42
density of states at the Fermi level	1.42	states/eV/f.u.

Cell: 7.3130 7.2877 2.8176 Å, 79.38 78.37 22.25°
Last column: nearest neighbours and their distance in Å.
Fractional coordinates of all 3 atoms:
Au 0.9705 0.9705 0.0295  4 Li 2.74-2.81, 4 Au 2.82
Li 0.3329 0.3329 0.6671  4 Se 2.73-2.80, 4 Au 2.74-2.81, 4 Li 2.82
Se 0.6965 0.6965 0.3035  4 Li 2.73-2.80, 4 Se 2.82

---

(7)
The following is a PBE-GGA calculation of crystalline LiAu2Se2 at its relaxed geometry, from the Alexandria database.

V	202.6	Å³ per cell
distance to the lowest polymorph of the same formula	0.127	eV per atom
total moment	0.00	μB/atom
raw total energy	-32.55	eV per cell
ΔE_f (raw)	-0.17	eV per atom
space-group type	P4/mbm, No. 127
density of states at the Fermi level	3.12	states/eV/f.u.

Cell: 7.3439 7.3439 3.7560 Å, 90.00 90.00 90.00°
Last column: nearest neighbours and their distance in Å.
Fractional coordinates of all 10 atoms:
Au 0.1347 0.6347 0.5000  2 Se 2.66, 1 Au 2.80
Au 0.6347 0.8653 0.5000  2 Se 2.66, 1 Au 2.80
Au 0.8653 0.3653 0.5000  2 Se 2.66, 1 Au 2.80
Au 0.3653 0.1347 0.5000  2 Se 2.66, 1 Au 2.80
Se 0.3161 0.8161 0.0000  2 Au 2.66, 2 Li 2.69
Se 0.8161 0.6839 0.0000  2 Au 2.66, 2 Li 2.69
Se 0.6839 0.1839 0.0000  2 Au 2.66, 2 Li 2.69
Se 0.1839 0.3161 0.0000  2 Au 2.66, 2 Li 2.69
Li 0.0000 0.0000 0.0000  4 Se 2.69
Li 0.5000 0.5000 0.0000  4 Se 2.69

---

(8)
The following is a PBE-GGA calculation of crystalline SrLi2AuSe at its relaxed geometry, from the Alexandria database.

V	200.5	Å³ per cell
total moment	0.00	μB/atom
raw total energy	-9.23	eV per cell
ΔE_f (raw)	0.61	eV per atom
space-group type	P4/mmm, No. 123
density of states at the Fermi level	3.41	states/eV/f.u.

Cell: 6.0940 5.3982 6.0940 Å, 90.00 90.00 90.00°
Last column: nearest neighbours and their distance in Å.
Fractional coordinates of all 5 atoms:
Sr 0.0000 0.0000 0.0000  2 Au 2.70
Au 0.0000 0.5000 0.0000  2 Sr 2.70
Se 0.5000 0.5000 0.5000  8 Li 4.07, 4 Au 4.31
Li 0.0000 0.0000 0.5000  2 Sr 3.05
Li 0.5000 0.0000 0.0000  2 Sr 3.05